DFT (PBE) results for a geometry-optimized V2CuTc structure.

a b c (Å): 3.081 3.081 5.639
angles (deg): 90.00 90.00 90.00
Fractional coordinates of all 4 atoms:
Tc1 0.500 0.500 0.500
V1 0.000 0.000 0.752
V2 0.000 0.000 0.248
Cu1 0.500 0.500 0.000

Final energy (Ry per atom): -0.606

---

DFT (PBE) results for a geometry-optimized VCuTc2 structure.

a b c (Å): 3.733 3.810 3.810
angles (deg): 90.00 90.00 90.00
Fractional coordinates of all 4 atoms:
Tc1 0.000 0.500 0.000
Tc2 0.000 0.000 0.500
Cu1 0.500 0.000 0.000
V1 0.500 0.500 0.500

ΔE to the lowest computed polymorph (meV per atom): 0

---

DFT (PBE) results for a geometry-optimized VCuTc structure.

a b c (Å): 2.530 4.549 8.812
angles (deg): 122.27 90.00 106.15
Fractional coordinates of all 6 atoms:
Tc1 0.239 0.477 0.753
Tc2 0.761 0.523 0.247
V1 0.074 0.147 0.906
V2 0.926 0.853 0.094
Cu1 0.593 0.186 0.428
Cu2 0.407 0.814 0.572

ΔE to the lowest computed polymorph (meV per atom): 50

---

DFT (PBE) results for a geometry-optimized VCuTc structure.

a b c (Å): 2.499 2.499 7.288
angles (deg): 99.87 99.87 90.00
Fractional coordinates of all 3 atoms:
Cu1 0.775 0.775 0.549
V1 0.951 0.951 0.901
Tc1 0.125 0.125 0.249

ΔE to the lowest computed polymorph (meV per atom): 617

---

DFT (PBE) results for a geometry-optimized VCuTc2 structure.

a b c (Å): 4.257 4.257 4.257
angles (deg): 60.00 60.00 60.00
Fractional coordinates of all 4 atoms:
Tc1 0.250 0.250 0.250
Tc2 0.750 0.750 0.750
V1 0.000 0.000 0.000
Cu1 0.500 0.500 0.500

ΔE to the lowest computed polymorph (meV per atom): 101

---

DFT (PBE) results for a geometry-optimized V3CuTc structure.

a b c (Å): 4.501 4.501 4.501
angles (deg): 90.00 90.00 90.00
Fractional coordinates of all 5 atoms:
Cu1 0.500 0.500 0.500
V1 0.000 0.500 0.000
V2 0.000 0.000 0.500
V3 0.500 0.000 0.000
Tc1 0.000 0.000 0.000

ΔE to the lowest computed polymorph (meV per atom): 0

---

DFT (PBE) results for a geometry-optimized V2CuTc structure.

a b c (Å): 6.694 6.694 5.391
angles (deg): 51.62 51.62 90.00
Fractional coordinates of all 8 atoms:
V1 0.875 0.885 0.750
V2 0.635 0.125 0.250
V3 0.375 0.365 0.750
V4 0.115 0.625 0.250
Tc1 0.000 0.000 0.000
Tc2 0.750 0.250 0.500
Cu1 0.500 0.500 0.000
Cu2 0.250 0.750 0.500

Final energy (Ry per atom): -0.565

---

DFT (PBE) results for a geometry-optimized V3CuTc structure.

a b c (Å): 4.335 4.335 4.335
angles (deg): 90.00 90.00 90.00
Last column: magnetic moment on the atom in μB.
Fractional coordinates of all 5 atoms:
V1 0.000 0.000 0.500  0.75
V2 0.000 0.500 0.000  0.75
V3 0.500 0.000 0.000  0.75
Cu1 0.000 0.000 0.000  0.11
Tc1 0.500 0.500 0.500  -0.82

ΔE to the lowest computed polymorph (meV per atom): 130